Record 1
{
  "formula": "MnSiSbI2",
  "functional": "PBE",
  "state": "optimized geometry",
  "cell": [[5.4555, 0.0000, 0.0000], [0.0000, 5.4555, 0.0000], [0.0000, 0.0000, 5.5323]],
  "species": ["Mn", "Si", "Sb", "I", "I"],
  "fractional_positions": [[0.0000, 0.0000, 0.0000], [0.5000, 0.5000, 0.5000], [0.5000, 0.5000, 0.0000], [0.0000, 0.5000, 0.5000], [0.5000, 0.0000, 0.5000]],
  "volume_a3_per_atom": 32.93,
  "e_tot_ev_per_atom": -3.65,
  "polymorph_energy_ev_per_fu": 0.16
}

***

Record 2
{
  "formula": "MnSiSb2I",
  "functional": "PBE",
  "state": "optimized geometry",
  "cell": [[5.2565, 0.0000, 0.0000], [0.0000, 5.2565, 0.0000], [0.0000, 0.0000, 5.4906]],
  "species": ["Mn", "Si", "Sb", "Sb", "I"],
  "fractional_positions": [[0.0000, 0.0000, 0.0000], [0.5000, 0.5000, 0.5000], [0.0000, 0.5000, 0.5000], [0.5000, 0.0000, 0.5000], [0.5000, 0.5000, 0.0000]],
  "volume_a3_per_atom": 30.34,
  "e_tot_ev_per_atom": -4.03,
  "polymorph_energy_ev_per_fu": 0.26
}

***

Record 3
{
  "formula": "MnSnSb2I",
  "functional": "PBE",
  "state": "optimized geometry",
  "cell": [[5.7106, 0.0000, 0.0000], [0.0000, 5.7106, 0.0000], [0.0000, 0.0000, 5.9257]],
  "species": ["Mn", "Sn", "Sb", "Sb", "I"],
  "fractional_positions": [[0.0000, 0.0000, 0.0000], [0.5000, 0.5000, 0.5000], [0.0000, 0.5000, 0.5000], [0.5000, 0.0000, 0.5000], [0.5000, 0.5000, 0.0000]],
  "volume_a3_per_atom": 38.65,
  "e_tot_ev_per_atom": -3.67,
  "polymorph_energy_ev_per_fu": 2.80
}

***

In the order shown, the computed density values come out to 4.62, 4.96, 4.68 g/cm3.
In the order shown, the computed spin magnetization values come out to 4.51, 4.19, 4.04 μB/cell.
In the order shown, the computed uncorrected formation energy values come out to 709, 846, 923 meV/atom.